No. 1
Below is TbCdInTe3 after structural relaxation, with properties calculated at the PBE level.

Output
The volume is 32.92 A^3/atom. The energy above the most stable polymorph in this dataset comes out at 0 meV/atom.

```
data_TbCdInTe3
_cell_length_a 11.6506
_cell_length_b 4.4681
_cell_length_c 15.1756
_cell_angle_alpha 90.00
_cell_angle_beta 90.00
_cell_angle_gamma 90.00
_symmetry_space_group_name_H-M 'P n m a'
_symmetry_Int_Tables_number 62
loop_
_symmetry_equiv_pos_as_xyz
'x,y,z'
'-x,-y,-z'
'-x+1/2,-y,z+1/2'
'x+1/2,y,-z+1/2'
'x+1/2,-y+1/2,-z+1/2'
'-x+1/2,y+1/2,z+1/2'
'-x,y+1/2,-z'
'x,-y+1/2,z'
loop_
_atom_site_label
_atom_site_fract_x
_atom_site_fract_y
_atom_site_fract_z
Tb1 0.0124 0.2500 0.2470
Cd1 0.2406 0.2500 0.7172
In1 0.2309 0.7500 0.5107
Te1 0.0393 0.2500 0.6134
Te2 0.0641 0.7500 0.1083
Te3 0.2389 0.7500 0.8359
```

=====

No. 2
Below is PuTlZnSe3 after structural relaxation, with properties calculated at the PBE level.

Output
The volume is 28.36 A^3/atom. For the calculated total energy, the calculation gives -5.678 eV/atom.

```
data_PuTlZnSe3
_cell_length_a 4.1750
_cell_length_b 14.7393
_cell_length_c 11.0625
_cell_angle_alpha 90.00
_cell_angle_beta 90.00
_cell_angle_gamma 90.00
_symmetry_space_group_name_H-M 'C m c m'
_symmetry_Int_Tables_number 63
_symmetry_space_group_name_Hall '-C 2c 2'
loop_
_atom_site_label
_atom_site_fract_x
_atom_site_fract_y
_atom_site_fract_z
Pu1 0.0000 0.0000 0.0000
Tl1 0.0000 0.2468 0.2500
Zn1 0.0000 0.4655 0.7500
Se1 0.0000 0.0676 0.7500
Se2 0.0000 0.3724 0.5658
```

=====

No. 3
Below is ScTaAsO after structural relaxation, with properties calculated at the PBE level.

Output
The volume is 15.97 A^3/atom. The energy above the most stable polymorph in this dataset comes out at 55 meV/atom.

```
data_ScTaAsO
_cell_length_a 4.0746
_cell_length_b 5.0286
_cell_length_c 6.2349
_cell_angle_alpha 90.00
_cell_angle_beta 90.00
_cell_angle_gamma 90.00
_symmetry_space_group_name_H-M 'P m c 21'
_symmetry_Int_Tables_number 26
loop_
_symmetry_equiv_pos_as_xyz
'x,y,z'
'-x,-y,z+1/2'
'-x,y,z'
'x,-y,z+1/2'
loop_
_atom_site_label
_atom_site_fract_x
_atom_site_fract_y
_atom_site_fract_z
Sc1 0.0000 0.2082 0.0000
Ta1 0.5000 0.3926 0.3330
As1 0.5000 0.1135 0.6882
O1 0.0000 0.4088 0.3218
```

=====

No. 4
Below is Nb4FeSN2 after structural relaxation, with properties calculated at the PBE level.

Output
The volume is 13.31 A^3/atom. For the calculated total energy, the calculation gives -9.249 eV/atom.

```
data_Nb4FeSN2
_cell_length_a 3.1516
_cell_length_b 3.1516
_cell_length_c 12.3757
_cell_angle_alpha 90.00
_cell_angle_beta 90.00
_cell_angle_gamma 120.00
_symmetry_space_group_name_H-M 'P -6 m 2'
_symmetry_Int_Tables_number 187
_symmetry_space_group_name_Hall 'P -6 2'
loop_
_atom_site_label
_atom_site_fract_x
_atom_site_fract_y
_atom_site_fract_z
Nb1 0.0000 0.0000 0.1473
Nb2 0.3333 0.6667 0.3477
Fe1 0.0000 0.0000 0.5000
S1 0.3333 0.6667 0.0000
N1 0.6667 0.3333 0.2503
```

=====

No. 5
Below is Sc3Sn3IrPd2 after structural relaxation, with properties calculated at the PBE level.

Output
The volume is 19.57 A^3/atom. For the calculated total energy, the calculation gives -6.428 eV/atom.

```
data_Sc3Sn3IrPd2
_cell_length_a 7.5483
_cell_length_b 7.5483
_cell_length_c 3.5695
_cell_angle_alpha 90.00
_cell_angle_beta 90.00
_cell_angle_gamma 120.00
_symmetry_space_group_name_H-M 'P -6 2 m'
_symmetry_Int_Tables_number 189
_symmetry_space_group_name_Hall 'P -6 -2'
loop_
_atom_site_label
_atom_site_fract_x
_atom_site_fract_y
_atom_site_fract_z
Sc1 0.0000 0.3886 0.0000
Sn1 0.0000 0.7264 0.5000
Ir1 0.0000 0.0000 0.0000
Pd1 0.3333 0.6667 0.5000
```

=====

No. 6
Below is NaTmPO after structural relaxation, with properties calculated at the PBE level.

Output
The volume is 17.33 A^3/atom. The energy above the most stable polymorph in this dataset comes out at 0 meV/atom.

```
data_NaTmPO
_cell_length_a 3.9814
_cell_length_b 6.3163
_cell_length_c 5.5145
_cell_angle_alpha 90.00
_cell_angle_beta 90.00
_cell_angle_gamma 90.00
_symmetry_space_group_name_H-M 'P m c 21'
_symmetry_Int_Tables_number 26
loop_
_symmetry_equiv_pos_as_xyz
'x,y,z'
'-x,-y,z+1/2'
'-x,y,z'
'x,-y,z+1/2'
loop_
_atom_site_label
_atom_site_fract_x
_atom_site_fract_y
_atom_site_fract_z
Na1 0.0000 0.1218 0.0000
Tm1 0.5000 0.2592 0.4994
P1 0.0000 0.4993 0.7489
O1 0.5000 0.0017 0.2474
```